1.
Density functional theory data (PBE-GGA) for an optimized crystal structure of Cs2Ce2Se2S.

Properties
Formation energy without anion corrections = -9.019 eV per formula unit
Electronic total energy = -67.4 eV/cell

Geometry as CIF:
```
data_Cs2Ce2Se2S
_symmetry_space_group_name_H-M 'I 4/m m m'
_symmetry_Int_Tables_number 139
_symmetry_space_group_name_Hall '-I 4 2'
_cell_length_a 5.362
_cell_length_b 5.362
_cell_length_c 18.093
_cell_angle_alpha 90.00
_cell_angle_beta 90.00
_cell_angle_gamma 90.00
loop_
_atom_site_label
_atom_site_type_symbol
_atom_site_fract_x
_atom_site_fract_y
_atom_site_fract_z
Cs1 Cs 0.000 0.000 0.188
Ce1 Ce 0.000 0.500 0.000
Se1 Se 0.000 0.000 0.398
S1 S 0.000 0.000 0.000
```


2.
Density functional theory data (PBE-GGA) for an optimized crystal structure of CsCeSeS.

Properties
Formation energy without anion corrections = -6.729 eV per formula unit
Electronic total energy = -63.4 eV/cell

Geometry as CIF:
```
data_CsCeSeS
_symmetry_space_group_name_H-M 'R 3 m'
_symmetry_Int_Tables_number 160
_symmetry_space_group_name_Hall 'R 3 -2"'
_cell_length_a 4.3332
_cell_length_b 4.3332
_cell_length_c 24.9778
_cell_angle_alpha 90.00
_cell_angle_beta 90.00
_cell_angle_gamma 120.00
loop_
_atom_site_label
_atom_site_type_symbol
_atom_site_fract_x
_atom_site_fract_y
_atom_site_fract_z
Cs1 Cs 0.0000 0.0000 0.0000
Ce1 Ce 0.0000 0.0000 0.1643
Se1 Se 0.0000 0.0000 0.5642
S1 S 0.0000 0.0000 0.7731
```